# CeAlTe3 | Alexandria | GGA-PBE | relaxed
data_CeAlTe3
_chemical_formula_sum 'Ce4 Al4 Te12'
_cell_length_a 8.8854
_cell_length_b 6.6540
_cell_length_c 12.0936
_cell_angle_alpha 90.00
_cell_angle_beta 101.54
_cell_angle_gamma 90.00
_symmetry_space_group_name_H-M 'P 1 21/c 1'
_symmetry_Int_Tables_number 14
loop_
_symmetry_equiv_pos_as_xyz
'x,y,z'
'-x,-y,-z'
'-x,y+1/2,-z+1/2'
'x,-y+1/2,z+1/2'
loop_
_atom_site_label
_atom_site_type_symbol
_atom_site_fract_x
_atom_site_fract_y
_atom_site_fract_z
_atom_site_occupancy
Ce1 Ce 0.2132 0.2047 0.2506 1
Al1 Al 0.4123 0.7363 0.4534 1
Te1 Te 0.1453 0.6845 0.2985 1
Te2 Te 0.2989 0.1012 0.5164 1
Te3 Te 0.4602 0.5694 0.6577 1
# Calculated density (g/cm3): 5.21
# Crystal system: monoclinic
# Size of the total moment (Bohr magnetons per cell): 4.0
# Energy relative to the elements, uncorrected (meV per atom): -770